# 1
VASP calculation (PBE) on an optimized crystal structure of CrOsW2.

Properties
Formation enthalpy at 0 K, eV per atom: 0.190
Crystal system: monoclinic
Uncorrected energy, eV/atom: -11.500
Magnetic moment, μB per cell: 0.0
Excess energy over the best structure of this formula in the dataset, kJ/mol of atoms: 5.08

Unit cell a=5.0853 b=5.1217 c=2.7177 alpha=79.96 beta=79.67 gamma=117.19
Fractional positions:
Cr  0.5000  0.5000  0.0000
Os  0.5000  0.0000  0.5000
W  0.0000  0.0000  0.0000
W  0.0000  0.5000  0.5000

=====

# 2
VASP calculation (PBE) on an optimized crystal structure of CrOsW2.

Properties
Formation enthalpy at 0 K, eV per atom: 0.193
Crystal system: orthorhombic
Uncorrected energy, eV/atom: -11.497
Magnetic moment, μB per cell: 0.0
Excess energy over the best structure of this formula in the dataset, kJ/mol of atoms: 5.34

Unit cell a=2.7290 b=2.7290 c=7.9720 alpha=90.00 beta=90.00 gamma=91.42
Fractional positions:
Cr  0.0000  0.0000  0.5194
Os  0.5000  0.5000  0.7279
W  0.0000  0.0000  0.9847
W  0.5000  0.5000  0.2679

=====

# 3
VASP calculation (PBE) on an optimized crystal structure of Cr2OsW.

Properties
Formation enthalpy at 0 K, eV per atom: 0.150
Crystal system: orthorhombic
Uncorrected energy, eV/atom: -10.708
Magnetic moment, μB per cell: 0.0

Unit cell a=4.9620 b=4.9620 c=4.9620 alpha=144.53 beta=128.44 gamma=64.14
Fractional positions:
Cr  0.9918  0.9918  0.0000
Cr  0.5082  0.5082  0.0000
Os  0.2500  0.7500  0.5000
W  0.7500  0.2500  0.5000

=====

# 4
VASP calculation (PBE) on an optimized crystal structure of Cr2OsW.

Properties
Formation enthalpy at 0 K, eV per atom: 0.134
Crystal system: cubic
Uncorrected energy, eV/atom: -10.724
Magnetic moment, μB per cell: 1.6

Unit cell a=4.2818 b=4.2818 c=4.2818 alpha=60.00 beta=60.00 gamma=60.00
Fractional positions:
Cr  0.0000  0.0000  0.0000
Cr  0.2500  0.2500  0.2500
Os  0.5000  0.5000  0.5000
W  0.7500  0.7500  0.7500

=====

# 5
VASP calculation (PBE) on an optimized crystal structure of Cr2OsW.

Properties
Formation enthalpy at 0 K, eV per atom: 0.149
Crystal system: monoclinic
Uncorrected energy, eV/atom: -10.708
Magnetic moment, μB per cell: 0.0

Unit cell a=4.1069 b=2.6857 c=5.0763 alpha=77.14 beta=90.00 gamma=90.00
Fractional positions:
Cr  0.0000  0.0466  0.0238
Cr  0.5000  0.2054  0.2351
Os  0.0000  0.4800  0.4874
W  0.5000  0.7680  0.7537

=====

# 6
VASP calculation (PBE) on an optimized crystal structure of Cr2OsW.

Properties
Formation enthalpy at 0 K, eV per atom: 0.094
Crystal system: orthorhombic
Uncorrected energy, eV/atom: -10.763
Magnetic moment, μB per cell: 0.0

Unit cell a=4.9721 b=4.9721 c=4.2743 alpha=64.53 beta=64.53 gamma=34.89
Fractional positions:
Cr  0.9879  0.9879  0.0121
Cr  0.2654  0.2654  0.2346
Os  0.5064  0.5064  0.4934
W  0.7403  0.7403  0.7599

=====

# 7
VASP calculation (PBE) on an optimized crystal structure of Cr2OsW.

Properties
Formation enthalpy at 0 K, eV per atom: 0.183
Crystal system: monoclinic
Uncorrected energy, eV/atom: -10.674
Magnetic moment, μB per cell: 0.0

Unit cell a=4.9382 b=4.9382 c=2.6592 alpha=79.51 beta=79.51 gamma=115.84
Fractional positions:
Cr  0.0000  0.0000  0.0000
Cr  0.5000  0.5000  0.0000
Os  0.5000  0.0000  0.5000
W  0.0000  0.5000  0.5000

=====

# 8
VASP calculation (PBE) on an optimized crystal structure of CrOsW2.

Properties
Formation enthalpy at 0 K, eV per atom: 0.169
Crystal system: cubic
Uncorrected energy, eV/atom: -11.521
Magnetic moment, μB per cell: 1.7
Excess energy over the best structure of this formula in the dataset, kJ/mol of atoms: 3.03

Unit cell a=4.3843 b=4.3843 c=4.3843 alpha=60.00 beta=60.00 gamma=60.00
Fractional positions:
Cr  0.5000  0.5000  0.5000
Os  0.7500  0.7500  0.7500
W  0.0000  0.0000  0.0000
W  0.2500  0.2500  0.2500

=====

# 9
VASP calculation (PBE) on an optimized crystal structure of CrOsW2.

Properties
Formation enthalpy at 0 K, eV per atom: 0.332
Crystal system: trigonal
Uncorrected energy, eV/atom: -11.358
Magnetic moment, μB per cell: 0.0
Excess energy over the best structure of this formula in the dataset, kJ/mol of atoms: 18.76

Unit cell a=9.3638 b=9.3638 c=9.3638 alpha=16.81 beta=16.81 gamma=16.81
Fractional positions:
Cr  0.4959  0.4959  0.4959
Os  0.7553  0.7553  0.7553
W  0.0030  0.0030  0.0030
W  0.2457  0.2457  0.2457

=====

# 10
VASP calculation (PBE) on an optimized crystal structure of Cr2OsW.

Properties
Formation enthalpy at 0 K, eV per atom: 0.171
Crystal system: monoclinic
Uncorrected energy, eV/atom: -10.686
Magnetic moment, μB per cell: 0.0

Unit cell a=4.1589 b=2.6628 c=5.0360 alpha=79.39 beta=90.00 gamma=90.00
Fractional positions:
Cr  0.0000  0.9547  0.0060
Cr  0.0000  0.5453  0.4940
Os  0.5000  0.2500  0.2500
W  0.5000  0.7500  0.7500

=====

# 11
VASP calculation (PBE) on an optimized crystal structure of CrOsW2.

Properties
Formation enthalpy at 0 K, eV per atom: 0.149
Crystal system: tetragonal
Uncorrected energy, eV/atom: -11.541
Magnetic moment, μB per cell: 0.0
Excess energy over the best structure of this formula in the dataset, kJ/mol of atoms: 1.08

Unit cell a=3.0567 b=3.0567 c=6.3011 alpha=90.00 beta=90.00 gamma=90.00
Fractional positions:
Cr  0.0000  0.0000  0.4862
Os  0.5000  0.5000  0.7435
W  0.0000  0.0000  0.9978
W  0.5000  0.5000  0.2726

=====

# 12
VASP calculation (PBE) on an optimized crystal structure of Cr2OsW.

Properties
Formation enthalpy at 0 K, eV per atom: 0.870
Crystal system: tetragonal
Uncorrected energy, eV/atom: -9.987
Magnetic moment, μB per cell: 0.0

Unit cell a=6.8062 b=6.8062 c=5.4476 alpha=51.34 beta=51.34 gamma=90.00
Fractional positions:
Cr  0.6356  0.1250  0.2500
Cr  0.1144  0.6250  0.2500
Cr  0.3750  0.3644  0.7500
Cr  0.8750  0.8856  0.7500
Os  0.0000  0.0000  0.0000
Os  0.7500  0.2500  0.5000
W  0.5000  0.5000  0.0000
W  0.2500  0.7500  0.5000

=====

# 13
VASP calculation (PBE) on an optimized crystal structure of Cr2OsW.

Properties
Formation enthalpy at 0 K, eV per atom: 0.325
Crystal system: trigonal
Uncorrected energy, eV/atom: -10.532
Magnetic moment, μB per cell: 0.0

Unit cell a=8.5093 b=8.5093 c=8.5093 alpha=18.69 beta=18.69 gamma=18.69
Fractional positions:
Cr  0.9912  0.9912  0.9912
Cr  0.2564  0.2564  0.2564
Os  0.5047  0.5047  0.5047
W  0.7477  0.7477  0.7477

=====

# 14
VASP calculation (PBE) on an optimized crystal structure of Cr2OsW.

Properties
Formation enthalpy at 0 K, eV per atom: 0.223
Crystal system: tetragonal
Uncorrected energy, eV/atom: -10.635
Magnetic moment, μB per cell: 0.0

Unit cell a=3.7130 b=3.8424 c=3.8424 alpha=90.00 beta=90.00 gamma=90.00
Fractional positions:
Cr  0.0000  0.0000  0.0000
Cr  0.0000  0.5000  0.5000
Os  0.5000  0.5000  0.0000
W  0.5000  0.0000  0.5000

=====

# 15
VASP calculation (PBE) on an optimized crystal structure of CrOsW2.

Properties
Formation enthalpy at 0 K, eV per atom: 0.983
Crystal system: tetragonal
Uncorrected energy, eV/atom: -10.707
Magnetic moment, μB per cell: 4.1
Excess energy over the best structure of this formula in the dataset, kJ/mol of atoms: 81.53

Unit cell a=3.7088 b=3.7088 c=9.8271 alpha=79.12 beta=79.12 gamma=90.00
Fractional positions:
Cr  0.5000  0.5000  0.0000
Cr  0.2500  0.7500  0.5000
Os  0.0000  0.0000  0.0000
Os  0.7500  0.2500  0.5000
W  0.6193  0.1250  0.2500
W  0.1307  0.6250  0.2500
W  0.3750  0.3807  0.7500
W  0.8750  0.8693  0.7500

=====

# 16
VASP calculation (PBE) on an optimized crystal structure of CrOsW2.

Properties
Formation enthalpy at 0 K, eV per atom: 0.140
Crystal system: orthorhombic
Uncorrected energy, eV/atom: -11.550
Magnetic moment, μB per cell: 0.0
Excess energy over the best structure of this formula in the dataset, kJ/mol of atoms: 0.26

Unit cell a=5.0855 b=5.0855 c=5.0855 alpha=144.66 beta=128.67 gamma=63.86
Fractional positions:
Cr  0.2500  0.7500  0.5000
Os  0.7500  0.2500  0.5000
W  0.0105  0.0105  0.0000
W  0.4895  0.4895  0.0000

=====

# 17
VASP calculation (PBE) on an optimized crystal structure of CrOsW2.

Properties
Formation enthalpy at 0 K, eV per atom: 0.159
Crystal system: orthorhombic
Uncorrected energy, eV/atom: -11.531
Magnetic moment, μB per cell: 1.6
Excess energy over the best structure of this formula in the dataset, kJ/mol of atoms: 2.11

Unit cell a=3.1043 b=4.4080 c=4.3501 alpha=90.00 beta=90.00 gamma=90.00
Fractional positions:
Cr  0.5000  0.0000  0.5000
Os  0.0000  0.5000  0.5000
W  0.0000  0.0000  0.0000
W  0.5000  0.5000  0.0000

=====

# 18
VASP calculation (PBE) on an optimized crystal structure of Cr2OsW.

Properties
Formation enthalpy at 0 K, eV per atom: 0.248
Crystal system: tetragonal
Uncorrected energy, eV/atom: -10.610
Magnetic moment, μB per cell: 0.0

Unit cell a=4.6223 b=4.6223 c=4.6223 alpha=131.11 beta=131.11 gamma=71.63
Fractional positions:
Cr  0.0000  0.0000  0.0000
Cr  0.5000  0.5000  0.0000
Os  0.2500  0.7500  0.5000
W  0.7500  0.2500  0.5000

=====

# 19
VASP calculation (PBE) on an optimized crystal structure of CrOsW4.

Properties
Formation enthalpy at 0 K, eV per atom: 0.595
Crystal system: cubic
Uncorrected energy, eV/atom: -11.516
Magnetic moment, μB per cell: 2.4

Unit cell a=5.1908 b=5.1908 c=5.1908 alpha=60.00 beta=60.00 gamma=60.00
Fractional positions:
Cr  0.2500  0.2500  0.2500
Os  0.0000  0.0000  0.0000
W  0.6243  0.6243  0.1270
W  0.6243  0.1270  0.6243
W  0.6243  0.6243  0.6243
W  0.1270  0.6243  0.6243

=====

# 20
VASP calculation (PBE) on an optimized crystal structure of CrOsW2.

Properties
Formation enthalpy at 0 K, eV per atom: 0.239
Crystal system: tetragonal
Uncorrected energy, eV/atom: -11.451
Magnetic moment, μB per cell: 0.0
Excess energy over the best structure of this formula in the dataset, kJ/mol of atoms: 9.80

Unit cell a=3.8052 b=3.9473 c=3.9473 alpha=90.00 beta=90.00 gamma=90.00
Fractional positions:
Cr  0.5000  0.5000  0.0000
Os  0.5000  0.0000  0.5000
W  0.0000  0.0000  0.0000
W  0.0000  0.5000  0.5000